Record 1
A relaxed ScCr2Sb crystal. Source: the Alexandria database, functional PBE.

Cell lengths 7.671, 7.671, 6.158 Å; angles 51.47, 51.47, 90.00 degrees
Each line ends with the local moment (μB).
Atoms (fractional coordinates):
Sc 0.500 0.500 0.000  0.07
Sc 0.250 0.750 0.500  0.07
Sb 0.000 0.000 0.000  -0.08
Sb 0.750 0.250 0.500  -0.08
Cr 0.642 0.125 0.250  3.49
Cr 0.108 0.625 0.250  3.54
Cr 0.375 0.358 0.750  3.49
Cr 0.875 0.892 0.750  3.53

Output
As for the density: 5.2 Mg/m³. As for the space group: I-42d (122). For the energy relative to the elements, uncorrected, the calculation gives 219 kJ/mol of formula units.

=====

Record 2
A relaxed Ca2GaGe3Rh4 crystal. Source: the Alexandria database, functional PBE.

Cell lengths 4.229, 4.229, 10.213 Å; angles 90.00, 90.00, 90.00 degrees
Atoms (fractional coordinates):
Ca 0.500 0.000 0.248
Ca 0.000 0.500 0.752
Ga 0.500 0.500 0.500
Ge 0.000 0.000 0.500
Ge 0.500 0.000 0.873
Ge 0.000 0.500 0.127
Rh 0.500 0.500 0.000
Rh 0.000 0.000 0.000
Rh 0.500 0.000 0.633
Rh 0.000 0.500 0.367

Output
As for the density: 7.1 Mg/m³. As for the space group: P-4m2 (115). As for the formation energy: -765 meV/atom.

=====

Record 3
A relaxed Pr2Ho5Er2 crystal. Source: the Alexandria database, functional PBE.

Cell lengths 3.483, 8.195, 12.534 Å; angles 120.32, 97.99, 90.00 degrees
Atoms (fractional coordinates):
Pr 0.820 0.782 0.639
Pr 0.180 0.218 0.361
Ho 0.691 0.849 0.381
Ho 0.309 0.151 0.619
Ho 0.906 0.542 0.811
Ho 0.094 0.458 0.189
Ho 0.000 0.000 0.000
Er 0.547 0.738 0.094
Er 0.453 0.262 0.906

Output
As for the density: 7.8 Mg/m³. As for the space group: C2/m (12). Its distance to the lowest polymorph of the same formula is 0.006 eV/atom. As for the formation energy: 223 meV/atom.

=====

Which of these has the lowest density?
ScCr2Sb